A plane-wave DFT calculation with GGA+U was carried out for a relaxed structure of NiAsF3.

```
NiAsF3
1.0
4.045 0.000 0.000
0.000 4.045 0.000
0.000 0.000 4.045
Ni As F
1 1 3
Direct
0.000 0.000 0.000 Ni
0.500 0.500 0.500 As
0.000 0.500 0.000 F
0.000 0.000 0.500 F
0.500 0.000 0.000 F
```

Excess energy over the best structure of this formula in the dataset ... 0.000 eV per atom